First-principles (GGA+U) data for crystalline NiOsNO2 at its relaxed geometry, as listed in Alexandria.

Summary:
E, eV/atom: -5.27
Crystal system: tetragonal
Magnetic moment, μB/cell: 1.18

a = 3.6433 Å, b = 3.6433 Å, c = 3.7416 Å
α = 90.00°, β = 90.00°, γ = 90.00°
Last column: nearest neighbours and their distance in Å.
Fractional coordinates of all 5 atoms:
1 Os 0.5000 0.5000 0.5000  4 N 2.58, 8 O 2.61
2 Ni 0.0000 0.0000 0.0000  4 O 1.82, 2 N 1.87
3 O 0.0000 0.5000 0.0000  2 Ni 1.82
4 O 0.5000 0.0000 0.0000  2 Ni 1.82
5 N 0.0000 0.0000 0.5000  2 Ni 1.87